# 1
{"formula": "TbPm5Se6", "functional": "PBE", "state": "optimized geometry", "lattice": [[3.6137, -6.2736, 0.0000], [3.6137, 6.2736, 0.0000], [-2.4187, 0.0000, 6.7960]], "species": ["Tb", "Pm", "Pm", "Pm", "Pm", "Pm", "Se", "Se", "Se", "Se", "Se", "Se"], "fractional_positions": [[0.0000, 0.0000, 0.0000], [0.1705, 0.8295, 0.5000], [0.3326, 0.6674, 0.0000], [0.5000, 0.5000, 0.5000], [0.6674, 0.3326, 0.0000], [0.8295, 0.1705, 0.5000], [0.0822, 0.4092, 0.2459], [0.2446, 0.2446, 0.7513], [0.4092, 0.0822, 0.2459], [0.5908, 0.9178, 0.7541], [0.7554, 0.7554, 0.2487], [0.9178, 0.5908, 0.7541]], "spacegroup": "C2/m", "total_energy_ev_per_atom": -5.931}

=====

# 2
{"formula": "Hf2SiPd2Pb", "functional": "PBE", "state": "optimized geometry", "lattice": [[10.8182, 0.0000, 0.0000], [0.0000, 4.4134, 0.0000], [-3.6256, 0.0000, 10.2307]], "species": ["Hf", "Hf", "Hf", "Hf", "Hf", "Hf", "Hf", "Hf", "Si", "Si", "Si", "Si", "Pd", "Pd", "Pd", "Pd", "Pd", "Pd", "Pd", "Pd", "Pb", "Pb", "Pb", "Pb"], "fractional_positions": [[0.0000, 0.0000, 0.0000], [0.1123, 0.5000, 0.3719], [0.2342, 0.0000, 0.7395], [0.3756, 0.5000, 0.1377], [0.4965, 0.0000, 0.4991], [0.6220, 0.5000, 0.8632], [0.7450, 0.0000, 0.2588], [0.8631, 0.5000, 0.6186], [0.2459, 0.0000, 0.2514], [0.6196, 0.5000, 0.3764], [0.7437, 0.0000, 0.7435], [0.9898, 0.0000, 0.4968], [0.1329, 0.5000, 0.1373], [0.2284, 0.0000, 0.4839], [0.3677, 0.5000, 0.8720], [0.4982, 0.0000, 0.2635], [0.6256, 0.5000, 0.6188], [0.7464, 0.0000, 0.9806], [0.8653, 0.5000, 0.3819], [0.9794, 0.0000, 0.7347], [0.1168, 0.5000, 0.8742], [0.3661, 0.5000, 0.6187], [0.4970, 0.0000, 0.0019], [0.8675, 0.5000, 0.1232]], "spacegroup": "Pm", "total_energy_ev_per_atom": -7.127}

=====

# 3
{"formula": "K2Ho2TmMg3Cd", "functional": "PBE", "state": "optimized geometry", "lattice": [[4.8791, 0.0000, 0.0000], [0.0000, 7.0255, 4.0998], [0.0000, -7.0255, 4.0998]], "species": ["K", "K", "Ho", "Ho", "Tm", "Mg", "Mg", "Mg", "Cd"], "fractional_positions": [[0.0000, 0.1661, 0.8339], [0.0000, 0.8339, 0.1661], [0.5000, 0.1229, 0.4989], [0.5000, 0.4989, 0.1229], [0.5000, 0.8766, 0.8766], [0.0000, 0.2870, 0.2870], [0.0000, 0.5015, 0.7186], [0.0000, 0.7186, 0.5015], [0.5000, 0.5038, 0.5038]], "spacegroup": "Amm2", "total_energy_ev_per_atom": -1.924}

=====

# 4
{"formula": "HoTa2Pd", "functional": "PBE", "state": "optimized geometry", "lattice": [[4.4746, -3.3652, 0.0000], [4.4746, 3.3652, 0.0000], [0.0000, 0.0000, 5.2383]], "species": ["Ho", "Ho", "Ta", "Ta", "Ta", "Ta", "Pd", "Pd"], "fractional_positions": [[0.1535, 0.8465, 0.7500], [0.8465, 0.1535, 0.2500], [0.0091, 0.3903, 0.7500], [0.3903, 0.0091, 0.2500], [0.6097, 0.9909, 0.7500], [0.9909, 0.6097, 0.2500], [0.5000, 0.5000, 0.0000], [0.5000, 0.5000, 0.5000]], "spacegroup": "Cmcm", "formation_energy_ev_per_atom": 0.3429}

=====

What are the calculated volume values for these records? In order: 25.679 20.353 31.229 19.720 Å³ per atom.